[1]
Here is an optimized crystal structure of Pm2Hg2Pb from Alexandria. Energies are from PBE.

Lattice parameters (Å, degrees): 3.8675 8.5838 8.5838 90.00 90.00 90.00
Positions (direct):
Pm 0.5000 0.1709 0.6709
Pm 0.5000 0.6709 0.8291
Pm 0.5000 0.8291 0.3291
Pm 0.5000 0.3291 0.1709
Hg 0.0000 0.3732 0.8732
Hg 0.0000 0.8732 0.6268
Hg 0.0000 0.6268 0.1268
Hg 0.0000 0.1268 0.3732
Pb 0.0000 0.0000 0.0000
Pb 0.0000 0.5000 0.5000

Calculated values
DOS at the Fermi energy (states/eV/atom): 0.888
Energy of formation (eV per atom): -0.434
Calculated total energy (eV/atom): -3.1966

=====

[2]
Here is an optimized crystal structure of Pm5HgPb3 from Alexandria. Energies are from PBE.

Lattice parameters (Å, degrees): 6.7733 9.6301 9.6299 120.00 90.00 90.00
Positions (direct):
Pm 0.0000 0.6667 0.3333
Pm 0.5000 0.3333 0.6667
Pm 0.0000 0.3333 0.6667
Pm 0.5000 0.6667 0.3333
Pm 0.7500 0.7215 0.7215
Pm 0.7500 0.0000 0.2785
Pm 0.7500 0.2785 0.0000
Pm 0.2500 0.2785 0.2785
Pm 0.2500 0.0000 0.7215
Pm 0.2500 0.7215 0.0000
Hg 0.0000 0.0000 0.0000
Hg 0.5000 0.0000 0.0000
Pb 0.7500 0.3753 0.3754
Pb 0.7500 0.0000 0.6246
Pb 0.7500 0.6246 0.0000
Pb 0.2500 0.6247 0.6246
Pb 0.2500 0.0000 0.3754
Pb 0.2500 0.3754 0.0000

Calculated values
DOS at the Fermi energy (states/eV/atom): 1.049
Energy of formation (eV per atom): -0.559
Calculated total energy (eV/atom): -4.4677

=====

[3]
Here is an optimized crystal structure of Pm6Hg5Pb from Alexandria. Energies are from PBE.

Lattice parameters (Å, degrees): 9.2241 6.9462 6.8413 59.49 83.07 76.26
Positions (direct):
Pm 0.7293 0.0912 0.3452
Pm 0.2707 0.5635 0.3452
Pm 0.2219 0.2870 0.0000
Pm 0.7781 0.7130 0.0000
Pm 0.7293 0.4365 0.6548
Pm 0.2707 0.9088 0.6548
Hg 0.5000 0.1315 0.7370
Hg 0.0000 0.3010 0.3981
Hg 0.5000 0.5000 0.0000
Hg 0.0000 0.6990 0.6019
Hg 0.5000 0.8685 0.2630
Pb 0.0000 0.0000 0.0000

Calculated values
Relative energy among the computed polymorphs (kJ per mole of atoms): 12.9
DOS at the Fermi energy (states/eV/atom): 1.129
Energy of formation (eV per atom): -0.351
Calculated total energy (eV/atom): -3.1612

=====

[4]
Here is an optimized crystal structure of Pm2HgPb6 from Alexandria. Energies are from PBE.

Lattice parameters (Å, degrees): 5.4570 5.4570 11.5950 76.39 76.39 60.00
Positions (direct):
Pm 0.9016 0.9016 0.2951
Pm 0.0984 0.0984 0.7049
Hg 0.0000 0.0000 0.0000
Pb 0.5964 0.5964 0.2109
Pb 0.8047 0.8047 0.5859
Pb 0.7013 0.7013 0.8962
Pb 0.1953 0.1953 0.4141
Pb 0.4036 0.4036 0.7891
Pb 0.2987 0.2987 0.1038

Calculated values
DOS at the Fermi energy (states/eV/atom): 0.725
Energy of formation (eV per atom): -0.112
Calculated total energy (eV/atom): -3.6731

=====

[5]
Here is an optimized crystal structure of Pm2HgPb4 from Alexandria. Energies are from PBE.

Lattice parameters (Å, degrees): 4.7831 6.7018 6.7018 92.54 90.00 90.00
Positions (direct):
Pm 0.0000 0.7416 0.2584
Pm 0.0000 0.2584 0.7416
Hg 0.5000 0.5000 0.5000
Pb 0.0000 0.7668 0.7668
Pb 0.0000 0.2332 0.2332
Pb 0.5000 0.0000 0.5000
Pb 0.5000 0.5000 0.0000

Calculated values
DOS at the Fermi energy (states/eV/atom): 0.404
Energy of formation (eV per atom): -0.343
Calculated total energy (eV/atom): -3.8625

=====

[6]
Here is an optimized crystal structure of Pm4HgPb3 from Alexandria. Energies are from PBE.

Lattice parameters (Å, degrees): 4.5835 4.5324 11.8826 90.00 90.00 90.00
Positions (direct):
Pm 0.5000 0.5000 0.3618
Pm 0.0000 0.5000 0.8675
Pm 0.0000 0.0000 0.1329
Pm 0.5000 0.0000 0.6335
Hg 0.5000 0.5000 0.0920
Pb 0.0000 0.5000 0.5976
Pb 0.0000 0.0000 0.4031
Pb 0.5000 0.0000 0.9115

Calculated values
Relative energy among the computed polymorphs (kJ per mole of atoms): 0.0
DOS at the Fermi energy (states/eV/atom): 1.032
Energy of formation (eV per atom): -0.522
Calculated total energy (eV/atom): -4.3252

=====

[7]
Here is an optimized crystal structure of PmHg6Pb from Alexandria. Energies are from PBE.

Lattice parameters (Å, degrees): 4.8222 4.8222 8.9886 90.00 90.00 90.00
Positions (direct):
Pm 0.0000 0.0000 0.5000
Hg 0.5000 0.5000 0.0000
Hg 0.5000 0.5000 0.5000
Hg 0.5000 0.0000 0.2536
Hg 0.5000 0.0000 0.7464
Hg 0.0000 0.5000 0.2536
Hg 0.0000 0.5000 0.7464
Pb 0.0000 0.0000 0.0000

Calculated values
Relative energy among the computed polymorphs (kJ per mole of atoms): 0.0
DOS at the Fermi energy (states/eV/atom): 0.520
Energy of formation (eV per atom): -0.182
Calculated total energy (eV/atom): -1.4658

=====

[8]
Here is an optimized crystal structure of Pm6Hg8Pb from Alexandria. Energies are from PBE.

Lattice parameters (Å, degrees): 8.2722 8.2722 8.2722 65.38 65.38 65.38
Positions (direct):
Pm 0.1255 0.3855 0.6892
Pm 0.3108 0.8745 0.6145
Pm 0.6145 0.3108 0.8745
Pm 0.3855 0.6892 0.1255
Pm 0.6892 0.1255 0.3855
Pm 0.8745 0.6145 0.3108
Hg 0.1861 0.5429 0.9381
Hg 0.0619 0.8139 0.4571
Hg 0.4571 0.0619 0.8139
Hg 0.6988 0.6988 0.6988
Hg 0.3012 0.3012 0.3012
Hg 0.5429 0.9381 0.1861
Hg 0.9381 0.1861 0.5429
Hg 0.8139 0.4571 0.0619
Pb 0.0000 0.0000 0.0000

Calculated values
DOS at the Fermi energy (states/eV/atom): 0.813
Energy of formation (eV per atom): -0.352
Calculated total energy (eV/atom): -2.6602

=====

[9]
Here is an optimized crystal structure of Pm2Hg7Pb3 from Alexandria. Energies are from PBE.

Lattice parameters (Å, degrees): 3.7162 5.6511 16.4176 79.01 90.00 90.00
Positions (direct):
Pm 0.5000 0.6015 0.3160
Pm 0.5000 0.3985 0.6840
Hg 0.5000 0.7507 0.4977
Hg 0.5000 0.2493 0.5023
Hg 0.0000 0.6146 0.1583
Hg 0.0000 0.0000 0.0000
Hg 0.0000 0.3854 0.8417
Hg 0.5000 0.8911 0.8251
Hg 0.5000 0.1089 0.1749
Pb 0.5000 0.5000 0.0000
Pb 0.0000 0.0847 0.3479
Pb 0.0000 0.9153 0.6521

Calculated values
DOS at the Fermi energy (states/eV/atom): 0.485
Energy of formation (eV per atom): -0.171
Calculated total energy (eV/atom): -2.0655

=====

[10]
Here is an optimized crystal structure of Pm2Hg9Pb from Alexandria. Energies are from PBE.

Lattice parameters (Å, degrees): 4.6747 4.6747 14.2836 90.00 90.00 90.00
Positions (direct):
Pm 0.0000 0.0000 0.3279
Pm 0.0000 0.0000 0.6721
Hg 0.5000 0.5000 0.0000
Hg 0.5000 0.5000 0.3448
Hg 0.5000 0.5000 0.6552
Hg 0.5000 0.0000 0.1722
Hg 0.5000 0.0000 0.5000
Hg 0.5000 0.0000 0.8278
Hg 0.0000 0.5000 0.1722
Hg 0.0000 0.5000 0.5000
Hg 0.0000 0.5000 0.8278
Pb 0.0000 0.0000 0.0000

Calculated values
DOS at the Fermi energy (states/eV/atom): 0.709
Energy of formation (eV per atom): -0.240
Calculated total energy (eV/atom): -1.5670

=====

[11]
Here is an optimized crystal structure of PmHgPb from Alexandria. Energies are from PBE.

Lattice parameters (Å, degrees): 4.7834 6.5673 5.8750 90.00 114.02 90.00
Positions (direct):
Pm 0.6741 0.7500 0.8481
Pm 0.3259 0.2500 0.1519
Hg 0.3587 0.7500 0.2174
Hg 0.6413 0.2500 0.7826
Pb 0.0000 0.5000 0.5000
Pb 0.0000 0.0000 0.5000

Calculated values
Relative energy among the computed polymorphs (kJ per mole of atoms): 0.0
DOS at the Fermi energy (states/eV/atom): 0.362
Energy of formation (eV per atom): -0.449
Calculated total energy (eV/atom): -3.3692

=====

[12]
Here is an optimized crystal structure of Pm2HgPb3 from Alexandria. Energies are from PBE.

Lattice parameters (Å, degrees): 4.6173 4.7546 8.1735 90.00 106.41 90.00
Positions (direct):
Pm 0.1493 0.5000 0.2985
Pm 0.8507 0.5000 0.7015
Hg 0.0000 0.0000 0.0000
Pb 0.3250 0.0000 0.6501
Pb 0.6750 0.0000 0.3499
Pb 0.5000 0.5000 0.0000

Calculated values
Relative energy among the computed polymorphs (kJ per mole of atoms): 0.0
DOS at the Fermi energy (states/eV/atom): 0.527
Energy of formation (eV per atom): -0.470
Calculated total energy (eV/atom): -3.9575